Computed, not measured: a relaxed structure of K2Pm2PtO6 at the PBE level of DFT.

Unit cell a=5.941 b=5.941 c=6.616 alpha=97.33 beta=97.33 gamma=119.56
Element x y z (fractional)
K1 0.155 0.845 0.000
K2 0.845 0.155 0.000
Pm1 0.336 0.664 0.500
Pm2 0.664 0.336 0.500
Pt1 0.000 0.000 0.500
O1 0.044 0.351 0.673
O2 0.244 0.244 0.321
O3 0.351 0.044 0.673
O4 0.649 0.956 0.327
O5 0.756 0.756 0.679
O6 0.956 0.649 0.327

Computed properties:
- Final energy: -6.36 eV per atom
- Uncorrected formation energy: -2.041 eV/atom
- Mass density: 5.6 g/cm3
- Magnetization: 0.00 μB/f.u.

Computed, not measured: a relaxed structure of Nd3ZnCo3 at the PBE level of DFT.

Unit cell a=5.490 b=5.490 c=13.195 alpha=90.00 beta=90.00 gamma=134.34
Element x y z (fractional)
Nd1 0.003 0.997 0.750
Nd2 0.295 0.705 0.602
Nd3 0.295 0.705 0.898
Nd4 0.705 0.295 0.102
Nd5 0.705 0.295 0.398
Nd6 0.997 0.003 0.250
Zn1 0.000 0.000 0.000
Zn2 0.000 0.000 0.500
Co1 0.304 0.696 0.250
Co2 0.417 0.583 0.095
Co3 0.417 0.583 0.405
Co4 0.583 0.417 0.595
Co5 0.583 0.417 0.905
Co6 0.696 0.304 0.750

Computed properties:
- Final energy: -5.41 eV per atom
- ΔE_f: -0.14 eV/atom
- Mass density: 7.9 g/cm3
- Magnetization: 1.01 μB/f.u.

Computed, not measured: a relaxed structure of KCaSi2 at the PBE level of DFT.

Unit cell a=7.413 b=7.413 c=7.413 alpha=90.00 beta=90.00 gamma=90.00
Element x y z (fractional)
K1 0.000 0.000 0.000
K2 0.000 0.500 0.500
K3 0.500 0.000 0.500
K4 0.500 0.500 0.000
Ca1 0.000 0.000 0.500
Ca2 0.000 0.500 0.000
Ca3 0.500 0.000 0.000
Ca4 0.500 0.500 0.500
Si1 0.250 0.250 0.250
Si2 0.250 0.250 0.750
Si3 0.250 0.750 0.250
Si4 0.250 0.750 0.750
Si5 0.750 0.250 0.250
Si6 0.750 0.250 0.750
Si7 0.750 0.750 0.250
Si8 0.750 0.750 0.750

Computed properties:
- Final energy: -3.19 eV per atom
- Uncorrected formation energy: 0.295 eV/atom
- Mass density: 2.2 g/cm3
- Energy above the most stable polymorph in this dataset: 464.1 meV per atom
- Magnetization: 0.00 μB/f.u.

Computed, not measured: a relaxed structure of Tb2AsS4 at the PBE level of DFT.

Unit cell a=6.538 b=6.538 c=7.134 alpha=90.00 beta=90.00 gamma=90.00
Element x y z (fractional)
Tb1 0.000 0.500 0.250
Tb2 0.000 0.500 0.750
Tb3 0.500 0.000 0.250
Tb4 0.500 0.000 0.750
As1 0.000 0.000 0.000
As2 0.500 0.500 0.500
S1 0.236 0.236 0.500
S2 0.236 0.764 0.500
S3 0.264 0.264 0.000
S4 0.264 0.736 0.000
S5 0.736 0.264 0.000
S6 0.736 0.736 0.000
S7 0.764 0.236 0.500
S8 0.764 0.764 0.500

Computed properties:
- Final energy: -5.53 eV per atom
- Uncorrected formation energy: -1.186 eV/atom
- Mass density: 5.7 g/cm3
- Magnetization: 0.00 μB/f.u.

Computed, not measured: a relaxed structure of KBiPb2 at the PBE level of DFT.

Unit cell a=6.002 b=6.858 c=7.336 alpha=90.00 beta=90.00 gamma=90.00
Element x y z (fractional)
K1 0.250 0.250 0.101
K2 0.750 0.750 0.899
Bi1 0.250 0.750 0.271
Bi2 0.750 0.250 0.729
Pb1 0.250 0.004 0.630
Pb2 0.250 0.496 0.630
Pb3 0.750 0.504 0.370
Pb4 0.750 0.996 0.370

Computed properties:
- Final energy: -3.22 eV per atom
- ΔE_f: -0.12 eV/atom
- Mass density: 7.3 g/cm3
- Magnetization: 0.00 μB/f.u.

Computed, not measured: a relaxed structure of BC2 at the PBE level of DFT.

Unit cell a=6.795 b=6.795 c=4.667 alpha=104.13 beta=104.13 gamma=21.67
Element x y z (fractional)
B1 0.000 0.000 0.000
B2 0.162 0.162 0.193
B3 0.533 0.533 0.546
B4 0.865 0.865 0.191
C1 0.000 0.000 0.321
C2 0.194 0.194 0.874
C3 0.312 0.312 0.964
C4 0.357 0.357 0.684
C5 0.473 0.473 0.796
C6 0.657 0.657 0.680
C7 0.701 0.701 0.407
C8 0.819 0.819 0.491

Computed properties:
- Final energy: -8.04 eV per atom
- ΔE_f: 0.33 eV/atom
- Mass density: 3.0 g/cm3
- Energy above the most stable polymorph in this dataset: 90.9 meV per atom
- Magnetization: 0.00 μB/f.u.

Computed, not measured: a relaxed structure of LaCe2SmTe5 at the PBE level of DFT.

Unit cell a=5.640 b=5.640 c=11.965 alpha=90.00 beta=90.00 gamma=90.00
Element x y z (fractional)
La1 0.000 0.000 0.000
Ce1 0.500 0.500 0.340
Ce2 0.500 0.500 0.660
Sm1 0.000 0.000 0.500
Te1 0.000 0.000 0.248
Te2 0.000 0.000 0.752
Te3 0.000 0.500 0.500
Te4 0.500 0.000 0.500
Te5 0.500 0.500 0.000

Computed properties:
- Final energy: -4.99 eV per atom
- Uncorrected formation energy: -0.854 eV/atom
- Mass density: 5.3 g/cm3
- Magnetization: 3.78 μB/f.u.

Computed, not measured: a relaxed structure of Ca2Pa2O7 at the PBE level of DFT.

Unit cell a=5.458 b=5.458 c=5.532 alpha=90.00 beta=90.00 gamma=95.40
Element x y z (fractional)
Ca1 0.232 0.232 0.000
Ca2 0.768 0.768 0.000
Pa1 0.228 0.772 0.500
Pa2 0.772 0.228 0.500
O1 0.000 0.000 0.267
O2 0.000 0.000 0.733
O3 0.000 0.500 0.260
O4 0.000 0.500 0.740
O5 0.500 0.000 0.260
O6 0.500 0.000 0.740
O7 0.500 0.500 0.500

Computed properties:
- Final energy: -8.65 eV per atom
- Uncorrected formation energy: -3.408 eV/atom
- Mass density: 6.6 g/cm3
- Magnetization: 0.00 μB/f.u.

Computed, not measured: a relaxed structure of YTlPt2 at the PBE level of DFT.

Unit cell a=3.809 b=3.809 c=5.826 alpha=90.00 beta=90.00 gamma=90.00
Element x y z (fractional)
Y1 0.000 0.000 0.000
Tl1 0.500 0.500 0.664
Pt1 0.000 0.000 0.494
Pt2 0.500 0.500 0.183

Computed properties:
- Final energy: -5.80 eV per atom
- ΔE_f: -0.58 eV/atom
- Mass density: 13.4 g/cm3
- Magnetization: 0.00 μB/f.u.

Computed, not measured: a relaxed structure of HfHgSCl2 at the PBE level of DFT.

Unit cell a=5.085 b=5.085 c=5.174 alpha=90.00 beta=90.00 gamma=90.00
Element x y z (fractional)
Hf1 0.000 0.000 0.000
Hg1 0.500 0.500 0.500
S1 0.500 0.500 0.000
Cl1 0.000 0.500 0.500
Cl2 0.500 0.000 0.500

Computed properties:
- Final energy: -3.13 eV per atom
- Uncorrected formation energy: 0.484 eV/atom
- Mass density: 6.0 g/cm3
- Energy above the most stable polymorph in this dataset: 1537.2 meV per atom
- Magnetization: 1.74 μB/f.u.

Computed, not measured: a relaxed structure of In2OsRh at the PBE level of DFT.

Unit cell a=3.045 b=3.045 c=26.083 alpha=90.00 beta=90.00 gamma=120.00
Element x y z (fractional)
In1 0.000 0.000 0.249
In2 0.000 0.000 0.751
In3 0.333 0.667 0.418
In4 0.333 0.667 0.915
In5 0.667 0.333 0.085
In6 0.667 0.333 0.582
Os1 0.000 0.000 0.000
Os2 0.333 0.667 0.667
Os3 0.667 0.333 0.333
Rh1 0.000 0.000 0.500
Rh2 0.333 0.667 0.167
Rh3 0.667 0.333 0.833

Computed properties:
- Final energy: -5.77 eV per atom
- ΔE_f: 0.24 eV/atom
- Mass density: 12.4 g/cm3
- Energy above the most stable polymorph in this dataset: 177.9 meV per atom
- Magnetization: 0.00 μB/f.u.

Computed, not measured: a relaxed structure of Bi3BMo at the PBE level of DFT.

Unit cell a=5.367 b=5.367 c=5.367 alpha=90.00 beta=90.00 gamma=90.00
Element x y z (fractional)
Bi1 0.000 0.000 0.500
Bi2 0.000 0.500 0.000
Bi3 0.500 0.000 0.000
B1 0.500 0.500 0.500
Mo1 0.000 0.000 0.000

Computed properties:
- Final energy: -4.37 eV per atom
- ΔE_f: 1.46 eV/atom
- Mass density: 7.9 g/cm3
- Energy above the most stable polymorph in this dataset: 192.4 meV per atom
- Magnetization: 0.00 μB/f.u.

Computed, not measured: a relaxed structure of GaReSi2Pd at the PBE level of DFT.

Unit cell a=4.605 b=4.605 c=4.542 alpha=90.00 beta=90.00 gamma=90.00
Element x y z (fractional)
Ga1 0.000 0.000 0.000
Re1 0.500 0.500 0.500
Si1 0.000 0.500 0.000
Si2 0.500 0.000 0.000
Pd1 0.000 0.000 0.500

Computed properties:
- Final energy: -4.86 eV per atom
- Uncorrected formation energy: 1.445 eV/atom
- Mass density: 7.2 g/cm3
- Magnetization: 2.94 μB/f.u.

Computed, not measured: a relaxed structure of TiTc2GeH at the PBE level of DFT.

Unit cell a=4.086 b=4.086 c=3.649 alpha=90.00 beta=90.00 gamma=90.00
Element x y z (fractional)
Ti1 0.000 0.000 0.000
Tc1 0.000 0.500 0.500
Tc2 0.500 0.000 0.500
Ge1 0.500 0.500 0.000
H1 0.000 0.000 0.500

Computed properties:
- Final energy: -7.57 eV per atom
- Mass density: 8.7 g/cm3
- Magnetization: 0.00 μB/f.u.

Computed, not measured: a relaxed structure of LaIn2Re at the PBE level of DFT.

Unit cell a=6.016 b=10.200 c=2.986 alpha=90.00 beta=90.00 gamma=90.00
Element x y z (fractional)
La1 0.000 0.000 0.000
La2 0.500 0.500 0.000
In1 0.250 0.250 0.500
In2 0.250 0.750 0.500
In3 0.750 0.250 0.500
In4 0.750 0.750 0.500
Re1 0.000 0.500 0.000
Re2 0.500 0.000 0.000

Computed properties:
- Final energy: -5.24 eV per atom
- ΔE_f: 0.48 eV/atom
- Mass density: 10.1 g/cm3
- Energy above the most stable polymorph in this dataset: 296.5 meV per atom
- Magnetization: 0.00 μB/f.u.

Computed, not measured: a relaxed structure of Tb4SmSc2 at the PBE level of DFT.

Unit cell a=19.718 b=19.718 c=19.718 alpha=10.22 beta=10.22 gamma=10.22
Element x y z (fractional)
Tb1 0.099 0.099 0.099
Tb2 0.383 0.383 0.383
Tb3 0.617 0.617 0.617
Tb4 0.901 0.901 0.901
Sm1 0.000 0.000 0.000
Sc1 0.188 0.188 0.188
Sc2 0.812 0.812 0.812

Computed properties:
- Final energy: -5.10 eV per atom
- ΔE_f: 0.03 eV/atom
- Mass density: 6.9 g/cm3
- Energy above the most stable polymorph in this dataset: 0.0 meV per atom
- Magnetization: 0.00 μB/f.u.

Computed, not measured: a relaxed structure of Pm4PrNdS8 at the PBE level of DFT.

Unit cell a=8.329 b=8.329 c=8.329 alpha=59.82 beta=59.82 gamma=59.82
Element x y z (fractional)
Pm1 0.000 0.000 0.000
Pm2 0.374 0.374 0.875
Pm3 0.374 0.875 0.374
Pm4 0.875 0.374 0.374
Pr1 0.374 0.374 0.374
Nd1 0.749 0.749 0.749
S1 0.129 0.129 0.604
S2 0.129 0.604 0.129
S3 0.132 0.132 0.132
S4 0.148 0.619 0.619
S5 0.604 0.129 0.129
S6 0.616 0.616 0.616
S7 0.619 0.148 0.619
S8 0.619 0.619 0.148

Computed properties:
- Final energy: -6.31 eV per atom
- Uncorrected formation energy: -1.912 eV/atom
- Mass density: 4.6 g/cm3
- Magnetization: 0.00 μB/f.u.

Computed, not measured: a relaxed structure of Ca4CdHg3 at the PBE level of DFT.

Unit cell a=7.557 b=7.624 c=8.518 alpha=90.00 beta=116.18 gamma=90.00
Element x y z (fractional)
Ca1 0.124 0.250 0.247
Ca2 0.124 0.750 0.247
Ca3 0.376 0.250 0.753
Ca4 0.376 0.750 0.753
Ca5 0.624 0.250 0.247
Ca6 0.624 0.750 0.247
Ca7 0.876 0.250 0.753
Ca8 0.876 0.750 0.753
Cd1 0.000 0.000 0.500
Cd2 0.500 0.500 0.500
Hg1 0.000 0.500 0.500
Hg2 0.248 0.000 0.996
Hg3 0.252 0.500 0.004
Hg4 0.500 0.000 0.500
Hg5 0.748 0.500 0.996
Hg6 0.752 0.000 0.004

Computed properties:
- Final energy: -1.73 eV per atom
- ΔE_f: -0.50 eV/atom
- Mass density: 6.6 g/cm3
- Magnetization: 0.00 μB/f.u.

Computed, not measured: a relaxed structure of Ac4Pr3YTe8 at the PBE level of DFT.

Unit cell a=9.226 b=9.226 c=9.226 alpha=60.01 beta=60.01 gamma=60.01
Element x y z (fractional)
Ac1 0.000 0.000 0.000
Ac2 0.000 0.500 0.500
Ac3 0.500 0.000 0.500
Ac4 0.500 0.500 0.000
Pr1 0.000 0.000 0.500
Pr2 0.000 0.500 0.000
Pr3 0.500 0.000 0.000
Y1 0.500 0.500 0.500
Te1 0.246 0.246 0.246
Te2 0.251 0.741 0.741
Te3 0.259 0.259 0.749
Te4 0.259 0.749 0.259
Te5 0.741 0.251 0.741
Te6 0.741 0.741 0.251
Te7 0.749 0.259 0.259
Te8 0.754 0.754 0.754

Computed properties:
- Final energy: -5.34 eV per atom
- Uncorrected formation energy: -1.442 eV/atom
- Mass density: 7.3 g/cm3
- Magnetization: 0.00 μB/f.u.

Computed, not measured: a relaxed structure of LiNdSi2Pt2 at the PBE level of DFT.

Unit cell a=4.228 b=4.228 c=6.840 alpha=90.00 beta=90.00 gamma=120.00
Element x y z (fractional)
Li1 0.000 0.000 0.000
Nd1 0.000 0.000 0.500
Si1 0.333 0.667 0.812
Si2 0.667 0.333 0.188
Pt1 0.333 0.667 0.189
Pt2 0.667 0.333 0.811

Computed properties:
- Final energy: -5.90 eV per atom
- Uncorrected formation energy: -0.966 eV/atom
- Mass density: 9.4 g/cm3
- Magnetization: 0.00 μB/f.u.

Computed, not measured: a relaxed structure of LiOsRh at the PBE level of DFT.

Unit cell a=5.759 b=5.759 c=5.759 alpha=90.00 beta=90.00 gamma=90.00
Element x y z (fractional)
Li1 0.000 0.000 0.000
Li2 0.000 0.500 0.500
Li3 0.500 0.000 0.500
Li4 0.500 0.500 0.000
Os1 0.250 0.250 0.750
Os2 0.250 0.750 0.250
Os3 0.750 0.250 0.250
Os4 0.750 0.750 0.750
Rh1 0.000 0.000 0.500
Rh2 0.000 0.500 0.000
Rh3 0.500 0.000 0.000
Rh4 0.500 0.500 0.500

Computed properties:
- Final energy: -6.23 eV per atom
- ΔE_f: 0.60 eV/atom
- Mass density: 10.4 g/cm3
- Energy above the most stable polymorph in this dataset: 607.2 meV per atom
- Magnetization: 0.00 μB/f.u.

Computed, not measured: a relaxed structure of TePCl9 at the PBE level of DFT.

Unit cell a=12.577 b=12.577 c=12.577 alpha=92.87 beta=118.06 gamma=118.65
Element x y z (fractional)
Te1 0.000 0.250 0.250
Te2 0.000 0.750 0.750
Te3 0.488 0.333 0.655
Te4 0.678 0.833 0.345
P1 0.057 0.305 0.796
P2 0.057 0.761 0.252
P3 0.509 0.261 0.204
P4 0.509 0.805 0.748
Cl1 0.006 0.605 0.606
Cl2 0.006 0.900 0.901
Cl3 0.040 0.320 0.635
Cl4 0.040 0.905 0.221
Cl5 0.043 0.145 0.815
Cl6 0.043 0.727 0.397
Cl7 0.088 0.669 0.919
Cl8 0.097 0.425 0.172
Cl9 0.248 0.455 0.943
Cl10 0.248 0.804 0.293
Cl11 0.253 0.925 0.828
Cl12 0.289 0.148 0.641
Cl13 0.298 0.352 0.445
Cl14 0.330 0.227 0.185
Cl15 0.330 0.645 0.603
Cl16 0.478 0.824 0.154
Cl17 0.490 0.182 0.516
Cl18 0.490 0.475 0.809
Cl19 0.507 0.648 0.359
Cl20 0.508 0.105 0.205
Cl21 0.508 0.803 0.904
Cl22 0.512 0.304 0.057
Cl23 0.512 0.955 0.707
Cl24 0.666 0.682 0.191
Cl25 0.666 0.975 0.484
Cl26 0.670 0.324 0.846
Cl27 0.684 0.405 0.365
Cl28 0.684 0.820 0.779
Cl29 0.723 0.561 0.663
Cl30 0.751 0.169 0.081
Cl31 0.898 0.061 0.337
Cl32 0.899 0.303 0.795
Cl33 0.899 0.605 0.096
Cl34 0.907 0.852 0.555
Cl35 0.999 0.105 0.099
Cl36 0.999 0.400 0.394

Computed properties:
- Final energy: -2.91 eV per atom
- Uncorrected formation energy: -0.625 eV/atom
- Mass density: 2.2 g/cm3
- Magnetization: 0.00 μB/f.u.